# 1
# Rb2CeAs2O6 PBE-GGA relaxed
# space-group type: No. 12
# crystal system: monoclinic
# raw formation energy: -196.0 kJ per mole of atoms
# total magnetization: 0.00 μB/atom
# V: 21.3 A^3/atom
data_Rb2CeAs2O6
_chemical_formula_sum 'Rb2 Ce1 As2 O6'
_cell_length_a 6.084
_cell_length_b 6.081
_cell_length_c 7.375
_cell_angle_alpha 96.13
_cell_angle_beta 90.00
_cell_angle_gamma 120.02
_symmetry_space_group_name_H-M 'P 1'
_symmetry_Int_Tables_number 1
loop_
_symmetry_equiv_pos_as_xyz
'x,y,z'
loop_
_atom_site_label
_atom_site_fract_x
_atom_site_fract_y
_atom_site_fract_z
O1 0.305 0.609 0.333
O2 0.304 0.153 0.333
O3 0.848 0.153 0.333
O4 0.152 0.847 0.667
O5 0.696 0.847 0.667
O6 0.695 0.391 0.667
As1 0.142 0.285 0.221
As2 0.858 0.715 0.779
Ce1 0.500 0.000 0.500
Rb1 0.815 0.631 0.293
Rb2 0.185 0.369 0.707


# 2
# Li17Si2 PBE-GGA relaxed
# space-group type: No. 166
# density of states at the Fermi level: 4.76 states/eV/cell
# crystal system: trigonal
# raw formation energy: 0.4 kJ per mole of atoms
# total magnetization: 0.00 μB/atom
# V: 16.5 A^3/atom
data_Li17Si2
_chemical_formula_sum 'Li17 Si2'
_cell_length_a 7.478
_cell_length_b 7.478
_cell_length_c 7.478
_cell_angle_alpha 62.84
_cell_angle_beta 62.84
_cell_angle_gamma 62.84
_symmetry_space_group_name_H-M 'P 1'
_symmetry_Int_Tables_number 1
loop_
_symmetry_equiv_pos_as_xyz
'x,y,z'
loop_
_atom_site_label
_atom_site_fract_x
_atom_site_fract_y
_atom_site_fract_z
Li1 0.808 0.439 0.439
Li2 0.000 0.314 0.686
Li3 0.561 0.561 0.192
Li4 0.686 0.314 0.000
Li5 0.314 0.000 0.686
Li6 0.000 0.686 0.314
Li7 0.192 0.561 0.561
Li8 0.000 0.000 0.500
Li9 0.439 0.808 0.439
Li10 0.095 0.095 0.095
Li11 0.439 0.439 0.808
Li12 0.314 0.686 0.000
Li13 0.561 0.192 0.561
Li14 0.905 0.905 0.905
Li15 0.500 0.000 0.000
Li16 0.000 0.500 0.000
Li17 0.686 0.000 0.314
Si1 0.294 0.294 0.294
Si2 0.706 0.706 0.706


# 3
# Ba2NaLaTi4O12 PBE-GGA relaxed
# space-group type: No. 139
# density of states at the Fermi level: 0.00 states/eV/cell
# crystal system: tetragonal
# raw formation energy: -292.3 kJ per mole of atoms
# total magnetization: 0.00 μB/atom
# V: 12.5 A^3/atom
data_Ba2NaLaTi4O12
_chemical_formula_sum 'Ba2 Na1 La1 Ti4 O12'
_cell_length_a 8.871
_cell_length_b 8.871
_cell_length_c 8.871
_cell_angle_alpha 143.06
_cell_angle_beta 143.06
_cell_angle_gamma 53.24
_symmetry_space_group_name_H-M 'P 1'
_symmetry_Int_Tables_number 1
loop_
_symmetry_equiv_pos_as_xyz
'x,y,z'
loop_
_atom_site_label
_atom_site_fract_x
_atom_site_fract_y
_atom_site_fract_z
O1 0.500 0.000 0.500
O2 0.863 0.376 0.000
O3 0.624 0.137 0.000
O4 0.750 0.250 0.500
O5 0.000 0.500 0.500
O6 0.863 0.863 0.487
O7 0.376 0.376 0.513
O8 0.250 0.750 0.500
O9 0.376 0.863 0.000
O10 0.137 0.137 0.513
O11 0.137 0.624 0.000
O12 0.624 0.624 0.487
Ti1 0.879 0.379 0.500
Ti2 0.379 0.879 0.500
Ti3 0.621 0.121 0.500
Ti4 0.121 0.621 0.500
Na1 0.000 0.000 0.000
Ba1 0.753 0.753 0.000
Ba2 0.247 0.247 0.000
La1 0.500 0.500 0.000


# 4
# BeAsCl PBE-GGA relaxed
# space-group type: No. 216
# density of states at the Fermi level: 4.05 states/eV/cell
# crystal system: cubic
# raw formation energy: 78.0 kJ per mole of atoms
# total magnetization: 0.00 μB/atom
# V: 20.5 A^3/atom
data_BeAsCl
_chemical_formula_sum 'Be1 As1 Cl1'
_cell_length_a 4.434
_cell_length_b 4.434
_cell_length_c 4.434
_cell_angle_alpha 60.00
_cell_angle_beta 60.00
_cell_angle_gamma 60.00
_symmetry_space_group_name_H-M 'P 1'
_symmetry_Int_Tables_number 1
loop_
_symmetry_equiv_pos_as_xyz
'x,y,z'
loop_
_atom_site_label
_atom_site_fract_x
_atom_site_fract_y
_atom_site_fract_z
Cl1 0.500 0.500 0.500
As1 0.750 0.750 0.750
Be1 0.000 0.000 0.000


# 5
# CoRuPb2 PBE-GGA relaxed
# DFT formation energy: 1.4 eV per formula unit
# space-group type: No. 99
# density of states at the Fermi level: 4.17 states/eV/cell
# crystal system: tetragonal
# total magnetization: 0.52 μB/atom
# V: 21.1 A^3/atom
data_CoRuPb2
_chemical_formula_sum 'Co1 Ru1 Pb2'
_cell_length_a 3.184
_cell_length_b 3.184
_cell_length_c 8.324
_cell_angle_alpha 90.00
_cell_angle_beta 90.00
_cell_angle_gamma 90.00
_symmetry_space_group_name_H-M 'P 1'
_symmetry_Int_Tables_number 1
loop_
_symmetry_equiv_pos_as_xyz
'x,y,z'
loop_
_atom_site_label
_atom_site_fract_x
_atom_site_fract_y
_atom_site_fract_z
Ru1 0.000 0.000 0.556
Pb1 0.500 0.500 0.321
Pb2 0.000 0.000 0.923
Co1 0.500 0.500 0.700


# 6
# LiTaPt2Cl PBE-GGA relaxed
# space-group type: No. 123
# density of states at the Fermi level: 4.09 states/eV/cell
# crystal system: tetragonal
# raw formation energy: 75.1 kJ per mole of atoms
# total magnetization: 0.14 μB/atom
# V: 37.2 A^3/atom
data_LiTaPt2Cl
_chemical_formula_sum 'Li1 Ta1 Pt2 Cl1'
_cell_length_a 4.786
_cell_length_b 8.129
_cell_length_c 4.786
_cell_angle_alpha 90.00
_cell_angle_beta 90.00
_cell_angle_gamma 90.00
_symmetry_space_group_name_H-M 'P 1'
_symmetry_Int_Tables_number 1
loop_
_symmetry_equiv_pos_as_xyz
'x,y,z'
loop_
_atom_site_label
_atom_site_fract_x
_atom_site_fract_y
_atom_site_fract_z
Cl1 0.500 0.500 0.500
Li1 0.000 0.500 0.000
Ta1 0.000 0.000 0.000
Pt1 0.500 0.000 0.000
Pt2 0.000 0.000 0.500


# 7
# La3Eu PBE-GGA relaxed
# DFT formation energy: 0.2 eV per formula unit
# space-group type: No. 139
# density of states at the Fermi level: 7.44 states/eV/cell
# crystal system: tetragonal
# total magnetization: 1.84 μB/atom
# V: 37.5 A^3/atom
data_La3Eu
_chemical_formula_sum 'La3 Eu1'
_cell_length_a 5.309
_cell_length_b 5.309
_cell_length_c 6.508
_cell_angle_alpha 114.07
_cell_angle_beta 114.07
_cell_angle_gamma 90.00
_symmetry_space_group_name_H-M 'P 1'
_symmetry_Int_Tables_number 1
loop_
_symmetry_equiv_pos_as_xyz
'x,y,z'
loop_
_atom_site_label
_atom_site_fract_x
_atom_site_fract_y
_atom_site_fract_z
Eu1 0.000 0.000 0.000
La1 0.750 0.250 0.500
La2 0.500 0.500 0.000
La3 0.250 0.750 0.500


# 8
# IrRu2 PBE-GGA relaxed
# DFT formation energy: 0.7 eV per formula unit
# space-group type: No. 194
# density of states at the Fermi level: 7.39 states/eV/cell
# crystal system: hexagonal
# total magnetization: 0.00 μB/atom
# V: 14.5 A^3/atom
data_IrRu2
_chemical_formula_sum 'Ir2 Ru4'
_cell_length_a 4.323
_cell_length_b 4.323
_cell_length_c 5.372
_cell_angle_alpha 90.00
_cell_angle_beta 90.00
_cell_angle_gamma 120.00
_symmetry_space_group_name_H-M 'P 1'
_symmetry_Int_Tables_number 1
loop_
_symmetry_equiv_pos_as_xyz
'x,y,z'
loop_
_atom_site_label
_atom_site_fract_x
_atom_site_fract_y
_atom_site_fract_z
Ru1 0.333 0.667 0.750
Ru2 0.000 0.000 0.000
Ru3 0.667 0.333 0.250
Ru4 0.000 0.000 0.500
Ir1 0.667 0.333 0.750
Ir2 0.333 0.667 0.250


# 9
# Ta2AlTlCr PBE-GGA relaxed
# DFT formation energy: 7.9 eV per formula unit
# space-group type: No. 123
# density of states at the Fermi level: 3.95 states/eV/cell
# crystal system: tetragonal
# total magnetization: 0.61 μB/atom
# V: 22.4 A^3/atom
data_Ta2AlTlCr
_chemical_formula_sum 'Ta2 Al1 Tl1 Cr1'
_cell_length_a 4.780
_cell_length_b 4.911
_cell_length_c 4.780
_cell_angle_alpha 90.00
_cell_angle_beta 90.00
_cell_angle_gamma 90.00
_symmetry_space_group_name_H-M 'P 1'
_symmetry_Int_Tables_number 1
loop_
_symmetry_equiv_pos_as_xyz
'x,y,z'
loop_
_atom_site_label
_atom_site_fract_x
_atom_site_fract_y
_atom_site_fract_z
Ta1 0.500 0.000 0.000
Ta2 0.000 0.000 0.500
Tl1 0.000 0.500 0.000
Al1 0.000 0.000 0.000
Cr1 0.500 0.500 0.500


# 10
# YTm3Al8 PBE-GGA relaxed
# DFT formation energy: -6.1 eV per formula unit
# space-group type: No. 160
# density of states at the Fermi level: 9.67 states/eV/cell
# crystal system: trigonal
# total magnetization: 0.00 μB/atom
# V: 19.9 A^3/atom
data_YTm3Al8
_chemical_formula_sum 'Y1 Tm3 Al8'
_cell_length_a 5.518
_cell_length_b 5.518
_cell_length_c 9.598
_cell_angle_alpha 73.29
_cell_angle_beta 73.29
_cell_angle_gamma 60.00
_symmetry_space_group_name_H-M 'P 1'
_symmetry_Int_Tables_number 1
loop_
_symmetry_equiv_pos_as_xyz
'x,y,z'
loop_
_atom_site_label
_atom_site_fract_x
_atom_site_fract_y
_atom_site_fract_z
Tm1 0.375 0.375 0.874
Tm2 0.000 0.000 0.000
Tm3 0.499 0.499 0.502
Al1 0.438 0.438 0.186
Al2 0.938 0.438 0.186
Al3 0.688 0.688 0.937
Al4 0.937 0.937 0.689
Al5 0.437 0.937 0.689
Al6 0.187 0.187 0.438
Al7 0.937 0.437 0.689
Al8 0.438 0.938 0.186
Y1 0.875 0.875 0.375